Record 1
# AgPt

Crystalline AgPt at its relaxed geometry (PBEsol, Alexandria).

Calculated values
Energy of formation from the pure elements ... 15 meV/atom
Crystal system ... monoclinic
M_tot ... 0.000 μB/f.u.

abc: 4.837 5.553 6.964
angles: 90.00 90.66 90.00
Atoms (fractional coordinates):
Ag 0.000 0.749 0.000
Ag 0.165 0.000 0.667
Ag 0.500 0.500 0.000
Ag 0.835 0.000 0.333
Ag 0.000 0.251 0.000
Ag 0.500 0.000 0.000
Pt 0.337 0.255 0.334
Pt 0.663 0.745 0.666
Pt 0.161 0.500 0.663
Pt 0.337 0.745 0.334
Pt 0.663 0.255 0.666
Pt 0.839 0.500 0.337

=====

Record 2
# Ag3Pt2

Crystalline Ag3Pt2 at its relaxed geometry (PBEsol, Alexandria).

Calculated values
Energy of formation from the pure elements ... -1 meV/atom
Crystal system ... monoclinic
E above lowest polymorph ... 3.76 kJ per mole of atoms
M_tot ... 0.000 μB/f.u.

abc: 2.784 6.965 8.457
angles: 106.07 90.00 90.00
Atoms (fractional coordinates):
Pt 0.500 0.505 0.503
Pt 0.500 0.699 0.109
Pt 0.000 0.794 0.399
Pt 0.500 0.904 0.689
Ag 0.000 0.994 0.993
Ag 0.500 0.096 0.300
Ag 0.000 0.207 0.599
Ag 0.500 0.300 0.902
Ag 0.000 0.395 0.203
Ag 0.000 0.605 0.804